BaZnCO3F2 PBE relaxed; DFT total energy = -99.49 eV/cell; energy relative to the elements, uncorrected = -2.34 eV/atom
1.0
-2.211 -3.871 2.076
4.160 1.779 1.925
-5.391 6.236 5.887
Ba Zn C O F
2 2 2 6 4
Direct
0.000 0.000 0.500
0.000 0.000 0.000
0.667 0.333 0.750
0.333 0.667 0.250
0.333 0.667 0.750
0.667 0.333 0.250
0.897 0.621 0.250
0.276 0.897 0.750
0.724 0.103 0.250
0.103 0.379 0.750
0.379 0.276 0.250
0.621 0.724 0.750
0.333 0.667 0.452
0.667 0.333 0.952
0.333 0.667 0.048
0.667 0.333 0.548



Mg3Si4 PBE relaxed; DFT total energy = -51.17 eV/cell; energy relative to the elements, uncorrected = 0.13 eV/atom
1.0
-2.973 1.542 1.333
-3.734 -5.769 3.269
1.790 -1.424 10.511
Mg Si
6 8
Direct
0.823 0.023 0.384
0.426 0.132 0.071
0.491 0.335 0.733
0.036 0.749 0.235
0.286 0.587 0.898
0.156 0.166 0.573
0.959 0.601 0.531
0.338 0.762 0.612
0.211 0.351 0.283
0.586 0.461 0.419
0.770 0.400 0.115
0.630 0.782 0.016
0.708 0.894 0.743
0.079 0.010 0.885